[1]
Computed, not measured: NaAs2P after structural relaxation at the PBE-GGA level of DFT.

Calculated values
* crystal system: tetragonal
* energy of formation: -0.092 eV/atom
* DOS at the Fermi energy: 0.000 states/eV per atom
* E: -4.099 eV per atom

a = 6.804 Å, b = 6.804 Å, c = 8.465 Å
α = 90.00°, β = 90.00°, γ = 90.00°
Space group I-42d (No. 122)
Asymmetric unit:
Na 0.000 0.000 0.000 x4
As 0.175 0.250 0.625 x8
P 0.000 0.000 0.500 x4

[2]
Computed, not measured: Mg2H5Ir2 after structural relaxation at the PBE-GGA level of DFT.

Calculated values
* crystal system: triclinic
* E above lowest polymorph: 28 meV/atom
* DOS at the Fermi energy: 0.062 states/eV per atom
* E: -4.403 eV per atom

a = 3.456 Å, b = 4.572 Å, c = 6.002 Å
α = 95.70°, β = 90.07°, γ = 111.94°
Space group P1 (No. 1)
Asymmetric unit:
Mg 0.000 0.000 0.000 x1
Mg 0.385 0.776 0.544 x1
H 0.167 0.334 0.729 x1
H 0.250 0.503 0.183 x1
H 0.531 0.062 0.169 x1
H 0.631 0.257 0.488 x1
H 0.918 0.840 0.326 x1
Ir 0.700 0.401 0.768 x1
Ir 0.725 0.453 0.234 x1